(1)
DFT (PBE) results for Sm2TmPuN4 after structural relaxation.

Results
Size of the total moment ... 4.62 Bohr magnetons per cell
Formation energy (no corrections) ... -1.500 eV per atom
DFT total energy ... -9.1928 eV per atom

a b c (Å): 3.5133 6.0477 6.0713
angles (deg): 109.26 90.00 90.00
Site moments in Bohr magnetons follow the coordinates.
Fractional positions:
Sm (0.5000, 0.0000, 0.5000)  0.10
Sm (0.0000, 0.5000, 0.5000)  0.11
Tm (0.5000, 0.5000, 0.0000)  0.08
Pu (0.0000, 0.0000, 0.0000)  4.48
N (0.5000, 0.2414, 0.2313)  -0.12
N (0.5000, 0.7586, 0.7687)  -0.12
N (0.0000, 0.2515, 0.7662)  -0.07
N (0.0000, 0.7485, 0.2338)  -0.07

=====

(2)
DFT (PBE) results for SmTmPu2N4 after structural relaxation.

Results
Size of the total moment ... 0.33 Bohr magnetons per cell
Formation energy (no corrections) ... -1.398 eV per atom
DFT total energy ... -10.2924 eV per atom

a b c (Å): 3.4836 6.0383 6.0295
angles (deg): 109.98 90.00 90.00
Site moments in Bohr magnetons follow the coordinates.
Fractional positions:
Sm (0.5000, 0.5000, 0.0000)  0.01
Tm (0.0000, 0.0000, 0.0000)  0.00
Pu (0.5000, 0.0000, 0.5000)  4.31
Pu (0.0000, 0.5000, 0.5000)  -4.57
N (0.5000, 0.2471, 0.2565)  0.06
N (0.5000, 0.7529, 0.7435)  0.06
N (0.0000, 0.2314, 0.7375)  -0.08
N (0.0000, 0.7686, 0.2625)  -0.08

=====

(3)
DFT (PBE) results for SmPuU2N4 after structural relaxation.

Results
Size of the total moment ... 7.60 Bohr magnetons per cell
Formation energy (no corrections) ... -1.334 eV per atom
DFT total energy ... -10.7000 eV per atom

a b c (Å): 4.9506 4.9506 6.0103
angles (deg): 114.32 114.32 90.00
Site moments in Bohr magnetons follow the coordinates.
Fractional positions:
Sm (0.5000, 0.5000, 0.0000)  -0.04
Pu (0.7500, 0.2500, 0.5000)  -4.85
U (0.2500, 0.7500, 0.5000)  -1.40
U (0.0000, 0.0000, 0.0000)  -1.18
N (0.0108, 0.5108, 0.0215)  0.08
N (0.4892, 0.9892, 0.9785)  0.08
N (0.7640, 0.7640, 0.5280)  0.11
N (0.2360, 0.2360, 0.4720)  0.11

=====

(4)
DFT (PBE) results for Sm2PuUN4 after structural relaxation.

Results
Size of the total moment ... 5.55 Bohr magnetons per cell
Formation energy (no corrections) ... -1.422 eV per atom
DFT total energy ... -9.9674 eV per atom

a b c (Å): 3.5179 6.0653 6.0898
angles (deg): 109.35 90.00 90.00
Site moments in Bohr magnetons follow the coordinates.
Fractional positions:
Sm (0.5000, 0.0000, 0.5000)  0.06
Sm (0.0000, 0.5000, 0.5000)  0.04
Pu (0.0000, 0.0000, 0.0000)  4.68
U (0.5000, 0.5000, 0.0000)  0.80
N (0.5000, 0.2560, 0.2228)  -0.10
N (0.5000, 0.7440, 0.7772)  -0.10
N (0.0000, 0.2716, 0.7787)  -0.06
N (0.0000, 0.7284, 0.2213)  -0.06